# ZrHgBi2, relaxed, DFT PBE
# Size of the total moment   0.0000 μB/atom
# Energy of formation from the pure elements   1.12 eV/f.u.
# Mass density   7.5 g cm⁻³
# Electronic total energy   -3.872 eV/atom
# Crystal system   tetragonal
data_ZrHgBi2
_chemical_formula_sum 'Zr4 Hg4 Bi8'
_cell_length_a 6.7857
_cell_length_b 6.7857
_cell_length_c 13.5825
_cell_angle_alpha 90.00
_cell_angle_beta 90.00
_cell_angle_gamma 90.00
_space_group_name_H-M_alt 'I -4 2 d'
_space_group_IT_number 122
_space_group_name_Hall 'I -4 2bw'
loop_
_atom_site_label
_atom_site_fract_x
_atom_site_fract_y
_atom_site_fract_z
Zr1 0.0000 0.0000 0.0000
Hg1 0.0000 0.0000 0.5000
Bi1 0.2385 0.2500 0.1250